DFT (PBE) results for K3TlAu after structural relaxation.

Summary:
Theoretical density ... 3953 kg/m3
V ... 43.6 A^3/atom
Energy relative to the elements ... -139 meV/atom
VASP energy ... -38.526 eV per cell
Energy above the most stable polymorph in this dataset ... 22 meV per atom

a b c (Å): 12.749 10.484 8.627
angles (deg): 90.00 130.90 90.00
Space group C2/m (No. 12)
Asymmetric unit:
K1 0.056 0.000 0.342
K2 0.219 0.307 0.762
Tl1 0.067 0.500 0.260
Au1 0.219 0.500 0.110